# 1
The following is a DFT calculation (PBE) of an optimized crystal structure of Tl2AuBr.

Cell lengths 8.239, 8.239, 8.239 Å; angles 151.43, 150.97, 41.18 degrees
Element x y z (fractional)
Tl 0.029 0.029 0.000
Tl 0.304 0.804 0.500
Au 0.463 0.463 0.000
Br 0.704 0.204 0.500

SG: Imm2

=====

# 2
The following is a DFT calculation (PBE) of an optimized crystal structure of Tl2AuBr.

Cell lengths 6.579, 6.579, 4.692 Å; angles 90.00, 90.00, 38.59 degrees
Element x y z (fractional)
Tl 0.999 0.999 0.125
Tl 0.745 0.745 0.625
Au 0.506 0.506 0.625
Br 0.251 0.251 0.125

SG: Amm2

=====

# 3
The following is a DFT calculation (PBE) of an optimized crystal structure of TlAu2Br.

Cell lengths 6.426, 6.426, 4.107 Å; angles 109.06, 109.06, 41.02 degrees
Element x y z (fractional)
Tl 0.750 0.750 0.750
Au 0.999 0.999 0.002
Au 0.501 0.501 0.498
Br 0.250 0.250 0.250

SG: C2/m

=====

# 4
The following is a DFT calculation (PBE) of an optimized crystal structure of Tl4AuBr5.

Cell lengths 6.707, 7.982, 7.982 Å; angles 79.83, 65.16, 65.16 degrees
Element x y z (fractional)
Tl 0.411 0.390 0.790
Tl 0.801 0.790 0.610
Tl 0.201 0.210 0.390
Tl 0.591 0.610 0.210
Au 0.029 0.000 0.000
Br 0.901 0.356 0.838
Br 0.257 0.838 0.644
Br 0.739 0.162 0.356
Br 0.095 0.644 0.162
Br 0.484 0.000 0.000

SG: I4

=====

# 5
The following is a DFT calculation (PBE) of an optimized crystal structure of TlAu2Br2.

Cell lengths 5.678, 5.678, 5.896 Å; angles 61.22, 61.22, 90.00 degrees
Element x y z (fractional)
Tl 0.000 0.000 0.000
Au 0.341 0.341 0.318
Au 0.659 0.659 0.682
Br 0.750 0.250 0.500
Br 0.250 0.750 0.500

SG: I4/mmm

=====

# 6
The following is a DFT calculation (PBE) of an optimized crystal structure of TlAu2Br.

Cell lengths 3.984, 4.612, 6.525 Å; angles 90.42, 90.00, 90.00 degrees
Element x y z (fractional)
Tl 0.500 0.749 0.872
Au 0.000 0.250 0.920
Au 0.500 0.251 0.207
Br 0.000 0.250 0.501

SG: Pm

=====

# 7
The following is a DFT calculation (PBE) of an optimized crystal structure of Tl2AuBr.

Cell lengths 5.469, 5.469, 5.469 Å; angles 60.00, 60.00, 60.00 degrees
Element x y z (fractional)
Tl 0.000 0.000 0.000
Tl 0.250 0.250 0.250
Au 0.500 0.500 0.500
Br 0.750 0.750 0.750

SG: F-43m

=====

# 8
The following is a DFT calculation (PBE) of an optimized crystal structure of TlAu2Br.

Cell lengths 3.798, 3.799, 8.224 Å; angles 90.00, 90.00, 90.00 degrees
Element x y z (fractional)
Tl 0.500 0.500 0.723
Au 0.000 0.000 0.160
Au 0.500 0.500 0.096
Br 0.000 0.000 0.521

SG: P4mm

=====

# 9
The following is a DFT calculation (PBE) of an optimized crystal structure of TlAuBr6.

Cell lengths 6.240, 7.977, 7.474 Å; angles 57.51, 82.34, 87.79 degrees
Element x y z (fractional)
Tl 0.500 0.500 0.500
Au 0.000 0.000 0.000
Br 0.120 0.346 0.862
Br 0.756 0.115 0.721
Br 0.387 0.306 0.346
Br 0.244 0.885 0.279
Br 0.880 0.654 0.138
Br 0.613 0.694 0.654

SG: P-1

=====

# 10
The following is a DFT calculation (PBE) of an optimized crystal structure of TlAu2Br.

Cell lengths 6.843, 6.843, 6.843 Å; angles 150.83, 139.38, 50.79 degrees
Element x y z (fractional)
Tl 0.750 0.250 0.500
Au 0.997 0.997 0.000
Au 0.503 0.503 0.000
Br 0.250 0.750 0.500

SG: Immm

=====

# 11
The following is a DFT calculation (PBE) of an optimized crystal structure of Tl2Au3Br6.

Cell lengths 8.156, 8.166, 16.557 Å; angles 75.74, 75.74, 60.04 degrees
Element x y z (fractional)
Tl 0.332 0.832 0.004
Tl 0.832 0.332 0.504
Tl 0.668 0.168 0.996
Tl 0.168 0.668 0.496
Au 0.086 0.914 0.750
Au 0.413 0.250 0.750
Au 0.750 0.586 0.750
Au 0.250 0.414 0.250
Au 0.914 0.086 0.250
Au 0.587 0.750 0.250
Br 0.030 0.840 0.901
Br 0.339 0.230 0.901
Br 0.731 0.529 0.901
Br 0.230 0.340 0.401
Br 0.839 0.029 0.401
Br 0.530 0.730 0.401
Br 0.970 0.160 0.099
Br 0.661 0.770 0.099
Br 0.269 0.471 0.099
Br 0.770 0.660 0.599
Br 0.161 0.971 0.599
Br 0.470 0.270 0.599

SG: C2/c

=====

# 12
The following is a DFT calculation (PBE) of an optimized crystal structure of TlAu2Br.

Cell lengths 5.105, 5.105, 5.105 Å; angles 60.00, 60.00, 60.00 degrees
Element x y z (fractional)
Tl 0.500 0.500 0.500
Au 0.250 0.250 0.250
Au 0.750 0.750 0.750
Br 0.000 0.000 0.000

SG: Fm-3m

=====

# 13
The following is a DFT calculation (PBE) of an optimized crystal structure of TlAuBr.

Cell lengths 6.349, 6.349, 6.349 Å; angles 146.21, 146.24, 48.52 degrees
Element x y z (fractional)
Tl 0.642 0.642 0.000
Au 0.007 0.007 0.000
Br 0.351 0.351 0.000

SG: I4mm

=====

# 14
The following is a DFT calculation (PBE) of an optimized crystal structure of TlAuBr4.

Cell lengths 6.376, 6.376, 6.376 Å; angles 60.00, 60.00, 60.00 degrees
Element x y z (fractional)
Tl 0.750 0.750 0.750
Au 0.000 0.000 0.000
Br 0.881 0.373 0.373
Br 0.373 0.373 0.881
Br 0.373 0.881 0.373
Br 0.373 0.373 0.373

SG: F-43m

=====

# 15
The following is a DFT calculation (PBE) of an optimized crystal structure of TlAu2Br.

Cell lengths 5.678, 5.678, 5.678 Å; angles 139.05, 112.28, 82.28 degrees
Element x y z (fractional)
Tl 0.773 0.273 0.500
Au 0.025 0.025 0.000
Au 0.241 0.741 0.500
Br 0.461 0.461 0.000

SG: Imm2

=====

# 16
The following is a DFT calculation (PBE) of an optimized crystal structure of Tl2AuBr.

Cell lengths 5.488, 5.488, 5.488 Å; angles 60.00, 60.00, 60.00 degrees
Element x y z (fractional)
Tl 0.250 0.250 0.250
Tl 0.750 0.750 0.750
Au 0.500 0.500 0.500
Br 0.000 0.000 0.000

SG: Fm-3m

=====

# 17
The following is a DFT calculation (PBE) of an optimized crystal structure of TlAu2Br.

Cell lengths 5.005, 5.005, 3.977 Å; angles 90.00, 90.00, 106.60 degrees
Element x y z (fractional)
Tl 0.000 0.500 0.500
Au 0.000 0.000 0.000
Au 0.500 0.500 0.000
Br 0.500 0.000 0.500

SG: Cmmm

=====

# 18
The following is a DFT calculation (PBE) of an optimized crystal structure of Tl3Au2Br8.

Cell lengths 7.178, 7.178, 10.951 Å; angles 70.87, 70.87, 60.00 degrees
Element x y z (fractional)
Tl 0.000 0.000 0.000
Tl 0.794 0.794 0.617
Tl 0.206 0.206 0.383
Au 0.607 0.607 0.178
Au 0.393 0.393 0.822
Br 0.690 0.690 0.930
Br 0.310 0.310 0.070
Br 0.206 0.743 0.308
Br 0.743 0.206 0.308
Br 0.743 0.743 0.308
Br 0.257 0.794 0.692
Br 0.794 0.257 0.692
Br 0.257 0.257 0.692

SG: R-3m

=====

# 19
The following is a DFT calculation (PBE) of an optimized crystal structure of TlAu2Br.

Cell lengths 5.570, 4.270, 4.272 Å; angles 89.29, 90.00, 90.00 degrees
Element x y z (fractional)
Tl 0.500 0.750 0.750
Au 0.000 0.982 0.982
Au 0.000 0.518 0.518
Br 0.500 0.250 0.250

SG: Cmmm

=====

# 20
The following is a DFT calculation (PBE) of an optimized crystal structure of TlAu2Br6.

Cell lengths 8.164, 9.063, 9.063 Å; angles 85.42, 81.02, 81.02 degrees
Element x y z (fractional)
Tl 0.250 0.091 0.909
Tl 0.750 0.909 0.091
Au 0.301 0.671 0.770
Au 0.199 0.230 0.329
Au 0.699 0.329 0.230
Au 0.801 0.770 0.671
Br 0.563 0.612 0.599
Br 0.937 0.401 0.388
Br 0.437 0.388 0.401
Br 0.063 0.599 0.612
Br 0.817 0.930 0.364
Br 0.683 0.636 0.070
Br 0.183 0.070 0.636
Br 0.317 0.364 0.930
Br 0.135 0.794 0.994
Br 0.365 0.006 0.206
Br 0.865 0.206 0.006
Br 0.635 0.994 0.794

SG: C2/c

=====

# 21
The following is a DFT calculation (PBE) of an optimized crystal structure of Tl2AuBr.

Cell lengths 7.825, 7.826, 7.822 Å; angles 34.53, 34.54, 34.50 degrees
Element x y z (fractional)
Tl 0.010 0.010 0.009
Tl 0.230 0.230 0.230
Au 0.513 0.513 0.513
Br 0.748 0.748 0.748

SG: Cm

=====

# 22
The following is a DFT calculation (PBE) of an optimized crystal structure of TlAuBr4.

Cell lengths 6.218, 7.473, 9.161 Å; angles 101.20, 90.00, 90.00 degrees
Element x y z (fractional)
Tl 0.500 0.500 0.000
Tl 0.000 0.000 0.500
Au 0.000 0.000 0.000
Au 0.500 0.500 0.500
Br 0.010 0.264 0.874
Br 0.510 0.236 0.626
Br 0.990 0.736 0.126
Br 0.490 0.764 0.374
Br 0.707 0.862 0.831
Br 0.207 0.638 0.669
Br 0.293 0.138 0.169
Br 0.793 0.362 0.331

SG: P2_1/c

=====

# 23
The following is a DFT calculation (PBE) of an optimized crystal structure of TlAuBr.

Cell lengths 5.999, 5.999, 5.354 Å; angles 90.00, 90.00, 90.00 degrees
Element x y z (fractional)
Au 0.500 0.000 0.992
Au 0.000 0.500 0.008
Br 0.000 0.500 0.507
Br 0.500 0.000 0.493
Tl 0.000 0.000 0.000
Tl 0.500 0.500 0.000

SG: P4/nmm

=====

# 24
The following is a DFT calculation (PBE) of an optimized crystal structure of TlAuBr3.

Cell lengths 5.361, 7.028, 9.836 Å; angles 90.00, 74.23, 90.00 degrees
Element x y z (fractional)
Tl 0.381 0.669 0.958
Tl 0.645 0.169 0.427
Au 0.890 0.155 0.939
Au 0.136 0.655 0.447
Br 0.630 0.663 0.457
Br 0.805 0.422 0.110
Br 0.060 0.368 0.598
Br 0.966 0.868 0.787
Br 0.395 0.163 0.929
Br 0.221 0.922 0.276

SG: P2_1

=====

# 25
The following is a DFT calculation (PBE) of an optimized crystal structure of TlAu2Br.

Cell lengths 4.244, 4.244, 7.534 Å; angles 72.41, 72.41, 57.16 degrees
Element x y z (fractional)
Tl 0.741 0.741 0.791
Au 0.984 0.984 0.029
Au 0.248 0.248 0.222
Br 0.527 0.527 0.458

SG: Cm

=====

# 26
The following is a DFT calculation (PBE) of an optimized crystal structure of TlAuBr.

Cell lengths 5.011, 5.011, 5.011 Å; angles 60.00, 60.00, 60.00 degrees
Element x y z (fractional)
Tl 0.500 0.500 0.500
Au 0.750 0.750 0.750
Br 0.000 0.000 0.000

SG: F-43m

=====

| no. | uncorrected formation energy (meV/atom) | calculated total energy (eV per atom) |
| --- | --- | --- |
| 1 | -310 | -2.731 |
| 2 | -322 | -2.742 |
| 3 | -8 | -2.657 |
| 4 | -629 | -2.740 |
| 5 | 13 | -2.441 |
| 6 | -38 | -2.686 |
| 7 | -74 | -2.495 |
| 8 | -104 | -2.753 |
| 9 | -274 | -2.234 |
| 10 | 84 | -2.564 |
| 11 | -336 | -2.572 |
| 12 | 278 | -2.371 |
| 13 | -28 | -2.467 |
| 14 | 429 | -1.627 |
| 15 | 41 | -2.608 |
| 16 | -286 | -2.706 |
| 17 | 224 | -2.424 |
| 18 | -308 | -2.388 |
| 19 | 59 | -2.590 |
| 20 | -167 | -2.274 |
| 21 | -179 | -2.599 |
| 22 | -409 | -2.465 |
| 23 | -196 | -2.635 |
| 24 | -456 | -2.588 |
| 25 | -45 | -2.694 |
| 26 | -58 | -2.496 |